1.
VASP calculation (GGA-PBE) on a relaxed structure of MgZnTe2.

Output
The total DFT energy (no corrections) comes out at -2.471 eV/atom.

a = 4.2199 Å, b = 4.0227 Å, c = 6.3590 Å
α = 90.00°, β = 101.62°, γ = 90.00°
Fractional positions:
Mg (0.0000, 0.0000, 0.0000)
Zn (0.5000, 0.0000, 0.5000)
Te (0.2582, 0.5000, 0.7455)
Te (0.7418, 0.5000, 0.2545)


2.
VASP calculation (GGA-PBE) on a relaxed structure of CeHf2RhN4.

Output
The total DFT energy (no corrections) comes out at -9.548 eV/atom.

a = 5.8214 Å, b = 5.8214 Å, c = 11.3629 Å
α = 90.00°, β = 90.00°, γ = 147.79°
Fractional positions:
Ce (0.1140, 0.8860, 0.7500)
Ce (0.8860, 0.1140, 0.2500)
Hf (0.3695, 0.6305, 0.5511)
Hf (0.3695, 0.6305, 0.9489)
Hf (0.6305, 0.3695, 0.0511)
Hf (0.6305, 0.3695, 0.4489)
Rh (0.1495, 0.8505, 0.2500)
Rh (0.8505, 0.1495, 0.7500)
N (0.0000, 0.0000, 0.0000)
N (0.0000, 0.0000, 0.5000)
N (0.2725, 0.7275, 0.1081)
N (0.2725, 0.7275, 0.3919)
N (0.4636, 0.5364, 0.7500)
N (0.5364, 0.4636, 0.2500)
N (0.7275, 0.2725, 0.6081)
N (0.7275, 0.2725, 0.8919)


3.
VASP calculation (GGA-PBE) on a relaxed structure of Pr2ZnNi4P3.

Output
The formation energy comes out at -0.862 eV/atom.

a = 4.0412 Å, b = 4.0412 Å, c = 9.4702 Å
α = 90.00°, β = 90.00°, γ = 90.00°
Fractional positions:
Pr (0.0000, 0.5000, 0.2436)
Pr (0.5000, 0.0000, 0.7564)
Zn (0.0000, 0.0000, 0.5000)
Ni (0.0000, 0.0000, 0.0000)
Ni (0.0000, 0.5000, 0.6290)
Ni (0.5000, 0.0000, 0.3710)
Ni (0.5000, 0.5000, 0.0000)
P (0.0000, 0.5000, 0.8712)
P (0.5000, 0.0000, 0.1288)
P (0.5000, 0.5000, 0.5000)


4.
VASP calculation (GGA-PBE) on a relaxed structure of Zn2NiMo.

Output
The formation energy comes out at 0.085 eV/atom. The energy above the most stable polymorph in this dataset comes out at 141 meV/atom.

a = 2.6508 Å, b = 4.5626 Å, c = 9.1221 Å
α = 90.00°, β = 90.00°, γ = 90.00°
Fractional positions:
Zn (0.0000, 0.0000, 0.2299)
Zn (0.0000, 0.0000, 0.7701)
Zn (0.5000, 0.5000, 0.2701)
Zn (0.5000, 0.5000, 0.7299)
Ni (0.0000, 0.5000, 0.5000)
Ni (0.5000, 0.0000, 0.0000)
Mo (0.0000, 0.5000, 0.0000)
Mo (0.5000, 0.0000, 0.5000)


5.
VASP calculation (GGA-PBE) on a relaxed structure of Tb6Sm3Dy2Y.

Output
The formation energy comes out at 0.015 eV/atom.

a = 6.1923 Å, b = 6.1923 Å, c = 11.8492 Å
α = 94.98°, β = 94.98°, γ = 119.97°
Fractional positions:
Tb (0.0826, 0.4167, 0.7520)
Tb (0.2493, 0.2493, 0.2480)
Tb (0.4167, 0.0826, 0.7520)
Tb (0.5833, 0.9174, 0.2480)
Tb (0.7507, 0.7507, 0.7520)
Tb (0.9174, 0.5833, 0.2480)
Sm (0.0000, 0.0000, 0.5000)
Sm (0.3333, 0.6667, 0.5000)
Sm (0.6667, 0.3333, 0.5000)
Dy (0.1666, 0.8334, 0.0000)
Dy (0.8334, 0.1666, 0.0000)
Y (0.5000, 0.5000, 0.0000)


6.
VASP calculation (GGA-PBE) on a relaxed structure of B3PbBr.

Output
The energy above the most stable polymorph in this dataset comes out at 0 meV/atom.

a = 4.8178 Å, b = 4.8178 Å, c = 4.8178 Å
α = 90.00°, β = 90.00°, γ = 90.00°
Fractional positions:
B (0.0000, 0.0000, 0.5000)
B (0.0000, 0.5000, 0.0000)
B (0.5000, 0.0000, 0.0000)
Pb (0.0000, 0.0000, 0.0000)
Br (0.5000, 0.5000, 0.5000)


Values of mass density, in order: 5.4 10.6 7.2 8.6 7.8 4.7, all in Mg/m³.